## CuPAu2 (PBE)

Data for a relaxed CuPAu2 crystal.

energy of formation from the pure elements = 8.34 kcal/mol of atoms
final energy = -3.653 eV/atom
calculated volume = 16.47 Å³/atom

Unit cell a=4.533 b=4.533 c=4.533 alpha=60.00 beta=60.00 gamma=60.00
Sites, in units of the cell vectors:
Cu 0.000 0.000 0.000
P 0.250 0.250 0.250
Au 0.500 0.500 0.500
Au 0.750 0.750 0.750